The following is a PBE calculation of crystalline Sr2V2Fe at its relaxed geometry, from the Alexandria database.

abc: 3.3871 3.3871 10.8186
angles: 80.99 80.99 90.00
Closest atoms and distances in Å follow each position.
Positions (direct):
1 Sr 0.6019 0.6019 0.7961  4 Fe 3.22, 4 Sr 3.39, 4 V 3.55
2 Sr 0.3981 0.3981 0.2039  4 Fe 3.22, 4 Sr 3.39, 4 V 3.55
3 Fe 0.0000 0.0000 0.0000  8 Sr 3.22, 4 Fe 3.39
4 V 0.7500 0.2500 0.5000  4 V 2.40
5 V 0.2500 0.7500 0.5000  4 V 2.40

VASP energy = -5.156 eV/atom
M_tot = 1.9 μB per formula unit
N(E_F) = 5.94 states/eV per cell
Calculated formation energy = 0.8570 eV/atom
ΔE to the lowest computed polymorph = 0.0857 eV/atom

***

The following is a PBE calculation of crystalline Sr2V2Fe at its relaxed geometry, from the Alexandria database.

abc: 6.4236 6.4236 5.5643
angles: 90.00 90.00 90.00
Closest atoms and distances in Å follow each position.
Positions (direct):
1 Sr 0.3120 0.1880 0.5000  2 V 3.15, 5 Sr 3.31-3.42
2 Sr 0.8120 0.3120 0.5000  2 V 3.15, 5 Sr 3.31-3.42
3 Sr 0.1880 0.6880 0.5000  2 V 3.15, 5 Sr 3.31-3.42
4 Sr 0.6880 0.8120 0.5000  2 V 3.15, 5 Sr 3.31-3.42
5 V 0.1500 0.3500 0.0000  2 Fe 2.45, 1 V 2.72
6 V 0.6500 0.1500 0.0000  2 Fe 2.45, 1 V 2.72
7 V 0.3500 0.8500 0.0000  2 Fe 2.45, 1 V 2.72
8 V 0.8500 0.6500 0.0000  2 Fe 2.45, 1 V 2.72
9 Fe 0.0000 0.0000 0.0000  4 V 2.45
10 Fe 0.5000 0.5000 0.0000  4 V 2.45

VASP energy = -5.241 eV/atom
M_tot = 2.9 μB per formula unit
N(E_F) = 10.29 states/eV per cell
Calculated formation energy = 0.7713 eV/atom
ΔE to the lowest computed polymorph = 0.0000 eV/atom

***

The following is a PBE calculation of crystalline SrFeW at its relaxed geometry, from the Alexandria database.

abc: 4.5028 4.5028 4.5028
angles: 60.00 60.00 60.00
Closest atoms and distances in Å follow each position.
Positions (direct):
1 Fe 0.2500 0.2500 0.2500  4 W 2.76, 4 Sr 2.76
2 W 0.5000 0.5000 0.5000  4 Fe 2.76
3 Sr 0.0000 0.0000 0.0000  4 Fe 2.76

VASP energy = -6.228 eV/atom
M_tot = 0.2 μB per formula unit
N(E_F) = 4.09 states/eV per cell
Calculated formation energy = 1.4715 eV/atom
ΔE to the lowest computed polymorph = 0.7891 eV/atom

***

The following is a PBE calculation of crystalline SrFe4W at its relaxed geometry, from the Alexandria database.

abc: 5.0190 5.0190 5.0190
angles: 60.00 60.00 60.00
Closest atoms and distances in Å follow each position.
Positions (direct):
1 Sr 0.7500 0.7500 0.7500  12 Fe 2.95, 4 W 3.07
2 Fe 0.3735 0.8794 0.3735  6 Fe 2.48-2.54
3 Fe 0.8794 0.3735 0.3735  6 Fe 2.48-2.54
4 Fe 0.3735 0.3735 0.8794  6 Fe 2.48-2.54
5 Fe 0.3735 0.3735 0.3735  6 Fe 2.48-2.54
6 W 0.0000 0.0000 0.0000  12 Fe 2.94, 4 Sr 3.07

VASP energy = -7.488 eV/atom
M_tot = 6.3 μB per formula unit
N(E_F) = 3.72 states/eV per cell
Calculated formation energy = 0.5934 eV/atom

***

The following is a PBE calculation of crystalline SrFeW2 at its relaxed geometry, from the Alexandria database.

abc: 2.9831 4.6942 5.2863
angles: 90.00 90.00 90.00
Closest atoms and distances in Å follow each position.
Positions (direct):
1 W 0.0000 0.0000 0.0000  6 W 2.78-2.98, 4 Fe 3.03
2 W 0.5000 0.5000 0.0000  6 W 2.78-2.98, 4 Sr 3.03
3 Sr 0.0000 0.5000 0.5000  4 Fe 2.78, 2 Sr 2.98, 4 W 3.03
4 Fe 0.5000 0.0000 0.5000  4 Sr 2.78, 2 Fe 2.98, 4 W 3.03

VASP energy = -7.841 eV/atom
M_tot = 2.3 μB per formula unit
N(E_F) = 4.78 states/eV per cell
Calculated formation energy = 1.1713 eV/atom
ΔE to the lowest computed polymorph = 0.4576 eV/atom

***

The following is a PBE calculation of crystalline SrFeW2 at its relaxed geometry, from the Alexandria database.

abc: 4.6820 4.6820 4.6820
angles: 60.00 60.00 60.00
Closest atoms and distances in Å follow each position.
Positions (direct):
1 W 0.0000 0.0000 0.0000  4 Sr 2.87, 4 W 2.87
2 W 0.2500 0.2500 0.2500  4 W 2.87, 4 Fe 2.87
3 Fe 0.5000 0.5000 0.5000  4 W 2.87, 4 Sr 2.87
4 Sr 0.7500 0.7500 0.7500  4 Fe 2.87, 4 W 2.87

VASP energy = -7.887 eV/atom
M_tot = 2.2 μB per formula unit
N(E_F) = 3.42 states/eV per cell
Calculated formation energy = 1.1259 eV/atom
ΔE to the lowest computed polymorph = 0.4121 eV/atom

***

The following is a PBE calculation of crystalline SrFeW3 at its relaxed geometry, from the Alexandria database.

abc: 4.6883 4.6883 4.6883
angles: 90.00 90.00 90.00
Closest atoms and distances in Å follow each position.
Positions (direct):
1 W 0.0000 0.5000 0.0000  2 Sr 2.34
2 W 0.0000 0.0000 0.5000  2 Sr 2.34
3 W 0.5000 0.0000 0.0000  2 Sr 2.34
4 Fe 0.5000 0.5000 0.5000  12 W 3.32
5 Sr 0.0000 0.0000 0.0000  6 W 2.34

VASP energy = -5.745 eV/atom
M_tot = 0.0 μB per formula unit
N(E_F) = 10.75 states/eV per cell
Calculated formation energy = 4.0561 eV/atom
ΔE to the lowest computed polymorph = 2.6605 eV/atom

***

The following is a PBE calculation of crystalline SrFeW2 at its relaxed geometry, from the Alexandria database.

abc: 4.9930 4.9930 8.8958
angles: 73.70 73.70 90.00
Closest atoms and distances in Å follow each position.
Positions (direct):
1 Sr 0.7500 0.2500 0.5000  8 W 3.41-3.50, 4 Fe 3.53
2 Sr 0.0000 0.0000 0.0000  8 W 3.41-3.50, 4 Fe 3.53
3 W 0.3626 0.1250 0.2500  2 Fe 2.39, 2 W 2.50
4 W 0.8750 0.6126 0.7500  2 Fe 2.39, 2 W 2.50
5 W 0.3874 0.6250 0.2500  2 Fe 2.39, 2 W 2.50
6 W 0.3750 0.6374 0.7500  2 Fe 2.39, 2 W 2.50
7 Fe 0.2500 0.7500 0.5000  4 W 2.39
8 Fe 0.5000 0.5000 0.0000  4 W 2.39

VASP energy = -7.617 eV/atom
M_tot = 0.5 μB per formula unit
N(E_F) = 5.71 states/eV per cell
Calculated formation energy = 1.3962 eV/atom
ΔE to the lowest computed polymorph = 0.6824 eV/atom

***

What did the seventh record say?
The following is a PBE calculation of crystalline SrFeW3 at its relaxed geometry, from the Alexandria database.

abc: 4.6883 4.6883 4.6883
angles: 90.00 90.00 90.00
Closest atoms and distances in Å follow each position.
Positions (direct):
1 W 0.0000 0.5000 0.0000  2 Sr 2.34
2 W 0.0000 0.0000 0.5000  2 Sr 2.34
3 W 0.5000 0.0000 0.0000  2 Sr 2.34
4 Fe 0.5000 0.5000 0.5000  12 W 3.32
5 Sr 0.0000 0.0000 0.0000  6 W 2.34

VASP energy = -5.745 eV/atom
M_tot = 0.0 μB per formula unit
N(E_F) = 10.75 states/eV per cell
Calculated formation energy = 4.0561 eV/atom
ΔE to the lowest computed polymorph = 2.6605 eV/atom